# 1
Below is a PBEsol-optimized structure of YSnAuI2, with properties calculated at the meta-GGA SCAN level.

**Final energy**: -41.28 eV per atom
**Theoretical density**: 5.4 g cm⁻³
**E_form (uncorrected)**: 0.00 eV per atom

Cell: 5.6600 5.6600 6.2733 Å, 90.00 90.00 90.00°
Sites, in units of the cell vectors:
I: 0.0000 0.5000 0.0000
I: 0.5000 0.0000 0.0000
Y: 0.0000 0.0000 0.0000
Au: 0.5000 0.5000 0.5000
Sn: 0.0000 0.0000 0.5000

# 2
Below is a PBEsol-optimized structure of Sr2YAg, with properties calculated at the meta-GGA SCAN level.

**Final energy**: -26.05 eV per atom
**Theoretical density**: 4.4 g cm⁻³
**Energy relative to the elements**: -106 meV/atom
**Offset from the most stable computed form**: 0 meV per atom

Cell: 3.7711 3.7711 9.8572 Å, 90.00 90.00 90.00°
Sites, in units of the cell vectors:
Y: 0.0000 0.0000 0.5718
Sr: 0.0000 0.0000 0.9321
Sr: 0.5000 0.5000 0.2784
Ag: 0.5000 0.5000 0.7177

# 3
Below is a PBEsol-optimized structure of BaMnTe2Au, with properties calculated at the meta-GGA SCAN level.

**Final energy**: -40.58 eV per atom
**Theoretical density**: 6.9 g cm⁻³
**E_form (uncorrected)**: -0.29 eV per atom

Cell: 4.9845 4.9845 6.2206 Å, 90.00 90.00 90.00°
Last column: magnetic moment on the atom in μB.
Sites, in units of the cell vectors:
Te: 0.0000 0.5000 0.0000  0.05
Te: 0.5000 0.0000 0.0000  0.05
Au: 0.5000 0.5000 0.5000  0.02
Ba: 0.0000 0.0000 0.5000  -0.02
Mn: 0.0000 0.0000 0.0000  3.57

# 4
Below is a PBEsol-optimized structure of SrHgOsPt2, with properties calculated at the meta-GGA SCAN level.

**Final energy**: -58.15 eV per atom
**Theoretical density**: 10.7 g cm⁻³
**Energy relative to the elements**: 2390 meV/atom

Cell: 5.0422 5.0422 5.3245 Å, 90.00 90.00 90.00°
Last column: magnetic moment on the atom in μB.
Sites, in units of the cell vectors:
Sr: 0.0000 0.0000 0.0000  -0.03
Os: 0.5000 0.5000 0.5000  2.83
Hg: 0.0000 0.0000 0.5000  0.04
Pt: 0.0000 0.5000 0.0000  0.03
Pt: 0.5000 0.0000 0.0000  0.03